Entry 1:
NaCu2SI | Alexandria | PBE | optimized geometry; crystal system = tetragonal; space group = P4/mmm (123); energy relative to the elements, uncorrected = 0.928 eV per atom
1.0
-0.688 -2.191 4.708
-0.637 -4.128 -2.014
5.143 -0.945 0.312
Na Cu S I
1 2 1 1
Direct
0.000 0.000 0.000
0.500 0.000 0.000
0.000 0.000 0.500
0.000 0.500 0.000
0.500 0.500 0.500


Entry 2:
CaYAgRu | Alexandria | PBE | optimized geometry; crystal system = cubic; space group = F-43m (216); energy relative to the elements = -0.14 eV per atom
1.0
-3.927 -0.678 -2.989
0.659 -1.730 -4.625
-1.475 -4.613 -1.168
Ag Ca Y Ru
1 1 1 1
Direct
0.250 0.250 0.250
0.500 0.500 0.500
0.000 0.000 0.000
0.750 0.750 0.750


Entry 3:
Pr6HgPd2 | Alexandria | PBE | optimized geometry; crystal system = orthorhombic; space group = Immm (71); energy relative to the elements = -0.44 eV per atom
1.0
-5.927 4.191 -5.151
6.376 -4.176 -4.597
-4.080 -6.373 4.687
Pd Pr Hg
4 12 2
Direct
0.650 0.000 0.650
0.500 0.629 0.129
0.350 0.000 0.350
0.500 0.371 0.871
0.893 0.713 0.179
0.302 0.975 0.672
0.807 0.761 0.568
0.698 0.370 0.672
0.302 0.630 0.328
0.107 0.287 0.821
0.534 0.713 0.821
0.466 0.287 0.179
0.193 0.761 0.954
0.698 0.025 0.328
0.193 0.239 0.432
0.807 0.239 0.046
0.000 0.000 0.000
0.000 0.500 0.500


Entry 4:
La4CuTe | Alexandria | PBE | optimized geometry; crystal system = cubic; space group = F-43m (216); energy relative to the elements, uncorrected = 0.171 eV per atom
1.0
-6.112 1.891 -0.296
-2.521 1.821 -5.599
-4.357 -3.690 -2.902
La Te Cu
4 1 1
Direct
0.376 0.872 0.376
0.376 0.376 0.872
0.872 0.376 0.376
0.376 0.376 0.376
0.750 0.750 0.750
0.000 0.000 0.000


Entry 5:
K5RuO4 | Alexandria | PBE | optimized geometry; crystal system = tetragonal; space group = P4/nmm (129); energy relative to the elements, uncorrected = -1.089 eV per atom
1.0
-0.158 -4.089 -2.425
5.028 -3.924 6.290
-7.404 -2.353 4.450
O K Ru
8 10 2
Direct
0.225 0.223 0.000
0.775 0.723 0.500
0.774 0.500 0.723
0.775 0.277 0.500
0.225 0.777 0.000
0.774 0.500 0.277
0.226 0.000 0.777
0.226 0.000 0.223
0.258 0.683 0.683
0.258 0.317 0.317
0.000 0.000 0.500
0.742 0.817 0.183
0.742 0.183 0.183
0.000 0.500 0.000
0.742 0.183 0.817
0.258 0.317 0.683
0.258 0.683 0.317
0.742 0.817 0.817
0.233 0.000 0.000
0.767 0.500 0.500


Entry 6:
LiPmPt | Alexandria | PBE | optimized geometry; crystal system = monoclinic; ΔE to the lowest computed polymorph = 0.085 eV/atom; space group = C2/m (12); energy relative to the elements = -0.74 eV per atom
1.0
-3.618 -1.211 -3.018
3.790 -2.173 -3.672
0.786 -3.127 4.233
Pt Pm Li
2 2 2
Direct
0.798 0.682 0.595
0.202 0.318 0.405
0.132 0.803 0.264
0.868 0.197 0.736
0.426 0.694 0.853
0.574 0.306 0.147


Entry 7:
Na2NpRh2S6 | Alexandria | PBE | optimized geometry; crystal system = monoclinic; space group = C2/m (12); energy relative to the elements, uncorrected = -0.939 eV per atom
1.0
6.165 -0.064 0.071
-3.103 5.328 0.071
-1.071 -1.841 6.889
S Rh Na Np
6 2 2 1
Direct
0.063 0.429 0.704
0.937 0.571 0.296
0.571 0.937 0.296
0.298 0.298 0.293
0.429 0.063 0.704
0.702 0.702 0.707
0.333 0.667 0.500
0.667 0.333 0.500
0.160 0.840 0.000
0.840 0.160 0.000
0.000 0.000 0.500


Entry 8:
MgCoBr | Alexandria | PBE | optimized geometry; crystal system = cubic; ΔE to the lowest computed polymorph = 1.054 eV/atom; space group = F-43m (216); energy relative to the elements, uncorrected = 0.577 eV per atom
1.0
-4.374 -0.193 -1.542
-2.637 -3.699 0.955
-3.533 0.377 2.987
Mg Br Co
1 1 1
Direct
0.750 0.750 0.750
0.000 0.000 0.000
0.500 0.500 0.500


Entry 9:
TmScCdTc | Alexandria | PBE | optimized geometry; crystal system = cubic; ΔE to the lowest computed polymorph = 0.111 eV/atom; space group = F-43m (216); energy relative to the elements = -0.16 eV per atom
1.0
-4.337 -2.027 0.915
-0.811 -4.658 -1.183
-0.428 -3.364 3.500
Tc Sc Tm Cd
1 1 1 1
Direct
0.000 0.000 0.000
0.750 0.750 0.750
0.250 0.250 0.250
0.500 0.500 0.500


Entry 10:
PrSn5 | Alexandria | PBE | optimized geometry; crystal system = orthorhombic; ΔE to the lowest computed polymorph = 0.000 eV/atom; space group = Immm (71); energy relative to the elements = -0.30 eV per atom
1.0
-0.350 -3.977 2.272
5.487 -3.839 -1.231
4.958 -0.435 4.647
Pr Sn
1 5
Direct
0.500 0.500 0.500
0.838 0.942 0.382
0.162 0.058 0.618
0.500 0.000 0.000
0.838 0.382 0.942
0.162 0.618 0.058


Entry 11:
In9Ag4Hg | Alexandria | PBE | optimized geometry; crystal system = hexagonal; space group = P6_3/mmc (194); energy relative to the elements = 0.05 eV per atom
1.0
9.011 0.000 0.000
0.000 8.112 -4.683
0.000 0.000 9.366
In Hg Ag
18 2 8
Direct
0.250 0.086 0.543
0.047 0.382 0.191
0.750 0.543 0.086
0.453 0.809 0.618
0.953 0.191 0.382
0.250 0.457 0.543
0.547 0.191 0.382
0.047 0.809 0.191
0.453 0.809 0.191
0.453 0.382 0.191
0.547 0.191 0.809
0.547 0.618 0.809
0.250 0.457 0.914
0.750 0.914 0.457
0.953 0.191 0.809
0.953 0.618 0.809
0.047 0.809 0.618
0.750 0.543 0.457
0.750 0.333 0.667
0.250 0.667 0.333
0.250 0.780 0.890
0.250 0.110 0.890
0.750 0.890 0.110
0.750 0.890 0.780
0.250 0.110 0.220
0.750 0.220 0.110
0.000 0.000 0.000
0.500 0.000 0.000


Entry 12:
PaInSbO6 | Alexandria | PBE | optimized geometry; crystal system = trigonal; space group = P-31c (163); energy relative to the elements, uncorrected = -2.164 eV per atom
1.0
-2.339 -4.590 1.905
0.450 0.810 -5.414
8.672 -4.392 0.063
O Sb Pa In
12 2 2 2
Direct
0.671 0.010 0.371
0.661 0.990 0.871
0.010 0.671 0.871
0.661 0.671 0.629
0.010 0.339 0.629
0.339 0.010 0.129
0.339 0.329 0.371
0.990 0.661 0.371
0.329 0.339 0.871
0.329 0.990 0.629
0.671 0.661 0.129
0.990 0.329 0.129
0.667 0.333 0.250
0.333 0.667 0.750
0.000 0.000 0.000
0.000 0.000 0.500
0.667 0.333 0.750
0.333 0.667 0.250


Entry 13:
Nd3Sm6Mg | Alexandria | PBE | optimized geometry; crystal system = orthorhombic; ΔE to the lowest computed polymorph = 0.079 eV/atom; space group = Cmc2_1 (36); energy relative to the elements = 0.10 eV per atom
1.0
9.456 0.000 0.000
0.000 9.734 -2.903
0.000 -5.002 8.840
Sm Nd Mg
12 6 2
Direct
0.083 0.306 0.176
0.819 0.947 0.557
0.777 0.043 0.957
0.583 0.176 0.306
0.114 0.709 0.291
0.083 0.824 0.694
0.319 0.557 0.947
0.583 0.694 0.824
0.819 0.443 0.053
0.277 0.957 0.043
0.319 0.053 0.443
0.614 0.291 0.709
0.951 0.623 0.875
0.451 0.377 0.125
0.784 0.541 0.459
0.951 0.125 0.377
0.284 0.459 0.541
0.451 0.875 0.623
0.605 0.786 0.214
0.105 0.214 0.786


Entry 14:
Ce2MgSc2 | Alexandria | PBE | optimized geometry; crystal system = tetragonal; space group = I4/mmm (139); energy relative to the elements = 0.02 eV per atom
1.0
3.308 0.000 -0.531
-0.085 3.307 -0.531
0.134 0.138 11.412
Sc Ce Mg
2 2 1
Direct
0.405 0.405 0.809
0.595 0.595 0.191
0.801 0.801 0.602
0.199 0.199 0.398
0.000 0.000 0.000


Entry 15:
Nd2TlPdO6 | Alexandria | PBE | optimized geometry; crystal system = monoclinic; space group = P2_1/c (14); energy relative to the elements, uncorrected = -1.891 eV per atom
1.0
-1.302 3.351 -4.345
1.067 -4.636 -3.896
-7.814 -2.279 0.571
O Nd Pd Tl
12 4 2 2
Direct
0.820 0.802 0.928
0.365 0.941 0.733
0.135 0.441 0.767
0.698 0.324 0.941
0.320 0.698 0.428
0.802 0.824 0.559
0.198 0.176 0.441
0.680 0.302 0.572
0.180 0.198 0.072
0.865 0.559 0.233
0.635 0.059 0.267
0.302 0.676 0.059
0.525 0.576 0.754
0.025 0.924 0.254
0.975 0.076 0.746
0.475 0.424 0.246
0.000 0.500 0.000
0.500 0.000 0.500
0.000 0.500 0.500
0.500 0.000 0.000


Entry 16:
Zn2InSi | Alexandria | PBE | optimized geometry; crystal system = cubic; ΔE to the lowest computed polymorph = 0.122 eV/atom; space group = Fm-3m (225); energy relative to the elements, uncorrected = 0.334 eV per atom
1.0
0.000 3.349 3.349
3.349 0.000 3.349
3.349 3.349 0.000
Zn In Si
2 1 1
Direct
0.750 0.750 0.750
0.250 0.250 0.250
0.500 0.500 0.500
0.000 0.000 0.000


Entry 17:
Pr3Ga5S12 | Alexandria | PBE | optimized geometry; crystal system = cubic; space group = Ia-3d (230); energy relative to the elements, uncorrected = -1.167 eV per atom
1.0
13.262 0.000 0.000
-4.421 12.503 0.000
-4.421 -6.252 10.828
S Ga Pr
48 20 12
Direct
0.178 0.086 0.706
0.120 0.706 0.528
0.678 0.206 0.586
0.380 0.408 0.086
0.586 0.880 0.408
0.822 0.914 0.294
0.322 0.528 0.408
0.086 0.178 0.206
0.206 0.528 0.620
0.086 0.908 0.380
0.908 0.822 0.528
0.322 0.794 0.414
0.528 0.206 0.120
0.620 0.592 0.914
0.592 0.620 0.414
0.822 0.908 0.028
0.092 0.914 0.120
0.380 0.972 0.794
0.586 0.706 0.678
0.794 0.322 0.914
0.914 0.092 0.620
0.294 0.414 0.822
0.620 0.028 0.206
0.972 0.592 0.178
0.092 0.178 0.472
0.472 0.678 0.092
0.880 0.586 0.908
0.678 0.472 0.592
0.914 0.822 0.794
0.120 0.414 0.092
0.472 0.794 0.880
0.880 0.294 0.472
0.794 0.472 0.380
0.908 0.086 0.880
0.972 0.380 0.294
0.178 0.092 0.972
0.294 0.880 0.972
0.706 0.120 0.028
0.414 0.294 0.322
0.408 0.028 0.322
0.706 0.586 0.178
0.028 0.620 0.706
0.028 0.408 0.822
0.528 0.322 0.908
0.408 0.380 0.586
0.592 0.972 0.678
0.414 0.120 0.592
0.206 0.678 0.086
0.375 0.125 0.750
0.000 0.000 0.000
0.875 0.250 0.625
0.000 0.500 0.500
0.125 0.750 0.375
0.625 0.750 0.875
0.750 0.125 0.875
0.500 0.500 0.500
0.125 0.375 0.250
0.000 0.000 0.500
0.375 0.250 0.125
0.250 0.375 0.625
0.625 0.875 0.250
0.875 0.625 0.750
0.500 0.500 0.000
0.250 0.875 0.125
0.500 0.000 0.000
0.750 0.625 0.375
0.500 0.000 0.500
0.000 0.500 0.000
0.750 0.875 0.625
0.375 0.750 0.625
0.250 0.125 0.375
0.875 0.750 0.125
0.250 0.625 0.875
0.375 0.625 0.250
0.625 0.375 0.750
0.750 0.375 0.125
0.125 0.250 0.875
0.875 0.125 0.250
0.125 0.875 0.750
0.625 0.250 0.375


Entry 18:
K3TcCl7 | Alexandria | PBE | optimized geometry; crystal system = monoclinic; space group = Cm (8); energy relative to the elements, uncorrected = -1.385 eV per atom
1.0
6.503 0.180 2.290
-1.320 6.371 2.290
-1.039 -1.313 7.479
Cl K Tc
7 3 1
Direct
0.860 0.860 0.776
0.159 0.159 0.185
0.693 0.038 0.144
0.038 0.693 0.144
0.331 0.995 0.793
0.995 0.331 0.793
0.572 0.572 0.531
0.758 0.204 0.486
0.204 0.758 0.486
0.502 0.502 0.939
0.013 0.013 0.974


Number 1: V 25.45 Å³ per atom, final energy -2.1101 eV per atom. Number 2: V 21.86 Å³ per atom, final energy -5.2844 eV per atom. Number 3: V 30.00 Å³ per atom, final energy -4.8172 eV per atom. Number 4: V 30.96 Å³ per atom, final energy -4.3205 eV per atom. Number 5: V 19.07 Å³ per atom, final energy -4.5481 eV per atom. Number 6: V 21.39 Å³ per atom, final energy -4.9789 eV per atom. Number 7: V 20.60 Å³ per atom, final energy -5.9436 eV per atom. Number 8: V 23.58 Å³ per atom, final energy -2.8803 eV per atom. Number 9: V 20.46 Å³ per atom, final energy -5.6775 eV per atom. Number 10: V 28.32 Å³ per atom, final energy -4.4344 eV per atom. Number 11: V 24.45 Å³ per atom, final energy -2.5500 eV per atom. Number 12: V 14.11 Å³ per atom, final energy -7.2870 eV per atom. Number 13: V 33.82 Å³ per atom, final energy -4.3244 eV per atom. Number 14: V 25.07 Å³ per atom, final energy -5.2067 eV per atom. Number 15: V 14.15 Å³ per atom, final energy -6.5754 eV per atom. Number 16: V 18.78 Å³ per atom, final energy -2.3436 eV per atom. Number 17: V 22.44 Å³ per atom, final energy -5.1173 eV per atom. Number 18: V 31.81 Å³ per atom, final energy -3.8014 eV per atom.